(1)
First-principles (PBE) data for crystalline Li2Ce2PrSi2 at its relaxed geometry, as listed in the Alexandria database.

The structure belongs to space group R-3m (No. 166, hexagonal axes); the cell edges are 4.4083, 4.4083 and 26.6590 Å and the angles 90.00°, 90.00° and 120.00°. Symmetry generates all atoms from Li at (0.0000, 0.0000, 0.0904), Ce at (0.0000, 0.0000, 0.3582), Pr at (0.0000, 0.0000, 0.5000) and Si at (0.0000, 0.0000, 0.2397).

For the total energy, the calculation gives -0.35758 Ry/atom. The formation energy without anion corrections is -2.74 eV/f.u. As for the volume: 21.36 Å³ per atom.


(2)
First-principles (PBE) data for crystalline Hf2TiMoH at its relaxed geometry, as listed in the Alexandria database.

The structure belongs to space group P4/mmm (No. 123); the cell edges are 4.608, 4.608 and 3.652 Å and the angles 90.00°, 90.00° and 90.00°. Symmetry generates all atoms from Hf at (0.000, 0.500, 0.000), Ti at (0.000, 0.000, 0.500), Mo at (0.500, 0.500, 0.500) and H at (0.000, 0.000, 0.000).

For the total energy, the calculation gives -0.62288 Ry/atom. As for the volume: 15.51 Å³ per atom.


(3)
First-principles (PBE) data for crystalline ScCrPt at its relaxed geometry, as listed in the Alexandria database.

The structure belongs to space group Imm2 (No. 44); the cell edges are 3.356, 3.500 and 9.090 Å and the angles 90.00°, 90.00° and 90.00°. Symmetry generates all atoms from Sc at (0.000, 0.000, 0.000), Cr at (0.000, 0.000, 0.689) and Pt at (0.000, 0.000, 0.347).

The calculated formation energy is -0.32 eV/atom. As for the relative energy among the computed polymorphs: 0.00 eV per formula unit. For the total energy, the calculation gives -0.56238 Ry/atom. As for the volume: 17.80 Å³ per atom.


Repeat the first record exactly.
First-principles (PBE) data for crystalline Li2Ce2PrSi2 at its relaxed geometry, as listed in the Alexandria database.

The structure belongs to space group R-3m (No. 166, hexagonal axes); the cell edges are 4.4083, 4.4083 and 26.6590 Å and the angles 90.00°, 90.00° and 120.00°. Symmetry generates all atoms from Li at (0.0000, 0.0000, 0.0904), Ce at (0.0000, 0.0000, 0.3582), Pr at (0.0000, 0.0000, 0.5000) and Si at (0.0000, 0.0000, 0.2397).

For the total energy, the calculation gives -0.35758 Ry/atom. The formation energy without anion corrections is -2.74 eV/f.u. As for the volume: 21.36 Å³ per atom.